An optimized crystal structure of BaCa2Te, computed with PBE.

- Mass density: 3.4 Mg/m³
- Uncorrected formation energy: -0.744 eV/atom
- Calculated total energy: -24.09 eV/cell
- Crystal system: orthorhombic
- DOS(E_F): 5.0 states/eV/cell

Lattice parameters (Å, degrees): 4.3945 5.5018 14.1225 90.00 90.00 90.00
With the nearest neighbours (Å) after each atom.
Space group Amm2 (No. 38)
Asymmetric unit:
Ba1 0.0000 0.0000 0.0000 x2  4 Te 3.59, 1 Ca 4.02
Ca1 0.0000 0.0000 0.7154 x2  2 Te 3.20
Ca2 0.5000 0.0000 0.3224 x2  1 Te 3.22
Te1 0.5000 0.0000 0.5502 x2  3 Ca 3.20-3.22